Entry from Alexandria: crystalline ZnTeW at its relaxed geometry (GGA-PBE).

The structure in CIF format:
```
data_ZnTeW
_chemical_formula_sum 'Zn1 Te1 W1'
_symmetry_space_group_name_H-M 'P -6 m 2'
_symmetry_Int_Tables_number 187
_symmetry_space_group_name_Hall 'P -6 2'
_cell_length_a 4.8255
_cell_length_b 4.8255
_cell_length_c 2.8203
_cell_angle_alpha 90.00
_cell_angle_beta 90.00
_cell_angle_gamma 120.00
loop_
_atom_site_label
_atom_site_fract_x
_atom_site_fract_y
_atom_site_fract_z
Zn1 0.0000 0.0000 0.0000
Te1 0.6667 0.3333 0.5000
W1 0.3333 0.6667 0.5000
```

Values from the calculation:
DOS(E_F) (states/eV per cell): 2.80
Energy relative to the elements, uncorrected (eV/atom): 0.736
Total DFT energy (no corrections) (eV/atom): -5.05
Excess energy over the best structure of this formula in the dataset (eV/atom): 0.312